(1)
Zr12VGa6 | PBE | relaxed

Cell and atoms, written as POSCAR:
```
Zr12VGa6
1.0
5.123 2.958 4.212
-5.123 2.958 4.212
0.000 -5.915 4.212
Zr V Ga
12 1 6
direct
0.019 0.937 0.308 Zr
0.063 0.692 0.981 Zr
0.128 0.456 0.358 Zr
0.308 0.019 0.937 Zr
0.358 0.128 0.456 Zr
0.456 0.358 0.128 Zr
0.544 0.642 0.872 Zr
0.642 0.872 0.544 Zr
0.692 0.981 0.063 Zr
0.872 0.544 0.642 Zr
0.937 0.308 0.019 Zr
0.981 0.063 0.692 Zr
0.500 0.500 0.500 V
0.234 0.381 0.754 Ga
0.246 0.766 0.619 Ga
0.381 0.754 0.234 Ga
0.619 0.246 0.766 Ga
0.754 0.234 0.381 Ga
0.766 0.619 0.246 Ga
```

Computed properties:
M_tot	1.15	μB per formula unit
calculated total energy	-134.634	eV for the cell shown
symmetry	R-3
E_form	-4.776	eV/f.u.


(2)
MgMnCo | PBE | relaxed

Cell and atoms, written as POSCAR:
```
MgMnCo
1.0
4.266 0.000 0.000
-2.133 3.694 0.000
0.000 0.000 4.803
Mg Mn Co
2 2 2
direct
0.333 0.667 0.250 Mg
0.667 0.333 0.750 Mg
0.000 0.000 0.000 Mn
0.000 0.000 0.500 Mn
0.333 0.667 0.750 Co
0.667 0.333 0.250 Co
```

Computed properties:
M_tot	0.00	μB per formula unit
relative energy among the computed polymorphs	448	meV/atom
calculated total energy	-32.647	eV for the cell shown
symmetry	P6_3/mmc
E_form	1.547	eV/f.u.


(3)
TaTc3Se | PBE | relaxed

Cell and atoms, written as POSCAR:
```
TaTc3Se
1.0
4.475 0.000 0.000
0.000 4.475 0.000
0.000 0.000 4.475
Ta Tc Se
1 3 1
direct
0.000 0.000 0.000 Ta
0.000 0.500 0.500 Tc
0.500 0.000 0.500 Tc
0.500 0.500 0.000 Tc
0.500 0.500 0.500 Se
```

Computed properties:
M_tot	0.00	μB per formula unit
relative energy among the computed polymorphs	0	meV/atom
calculated total energy	-41.688	eV for the cell shown
ΔE_f (raw)	4.747	eV/f.u.
symmetry	Pm-3m


(4)
Mg5GaHg2 | PBE | relaxed

Cell and atoms, written as POSCAR:
```
Mg5GaHg2
1.0
6.170 0.000 0.000
0.000 11.946 0.000
0.000 0.000 4.584
Mg Ga Hg
10 2 4
direct
0.000 0.000 0.000 Mg
0.109 0.266 0.000 Mg
0.167 0.604 0.500 Mg
0.333 0.104 0.500 Mg
0.391 0.766 0.000 Mg
0.500 0.500 0.000 Mg
0.609 0.234 0.000 Mg
0.667 0.896 0.500 Mg
0.833 0.396 0.500 Mg
0.891 0.734 0.000 Mg
0.000 0.500 0.000 Ga
0.500 0.000 0.000 Ga
0.140 0.856 0.500 Hg
0.360 0.356 0.500 Hg
0.640 0.644 0.500 Hg
0.860 0.144 0.500 Hg
```

Computed properties:
M_tot	0.00	μB per formula unit
calculated total energy	-26.042	eV for the cell shown
symmetry	Pbam
E_form	-1.417	eV/f.u.


(5)
Ca2NpSi3Pt4 | PBE | relaxed

Cell and atoms, written as POSCAR:
```
Ca2NpSi3Pt4
1.0
4.264 0.000 0.000
0.000 4.264 0.000
0.000 0.000 10.777
Ca Np Si Pt
2 1 3 4
direct
0.000 0.500 0.230 Ca
0.500 0.000 0.770 Ca
0.000 0.000 0.500 Np
0.000 0.500 0.884 Si
0.500 0.000 0.116 Si
0.500 0.500 0.500 Si
0.000 0.000 0.000 Pt
0.000 0.500 0.664 Pt
0.500 0.000 0.336 Pt
0.500 0.500 0.000 Pt
```

Computed properties:
M_tot	3.96	μB per formula unit
calculated total energy	-65.394	eV for the cell shown
ΔE_f (raw)	-8.017	eV/f.u.
symmetry	P-4m2


(6)
SmNpTl2O8 | PBE | relaxed

Cell and atoms, written as POSCAR:
```
SmNpTl2O8
1.0
5.249 0.000 0.000
0.000 6.922 0.000
-0.204 0.000 5.253
Sm Np Tl O
1 1 2 8
direct
0.000 0.000 0.000 Sm
0.000 0.500 0.000 Np
0.500 0.249 0.500 Tl
0.500 0.751 0.500 Tl
0.172 0.286 0.827 O
0.172 0.714 0.827 O
0.297 0.500 0.296 O
0.310 0.000 0.308 O
0.690 0.000 0.692 O
0.703 0.500 0.704 O
0.828 0.286 0.173 O
0.828 0.714 0.173 O
```

Computed properties:
M_tot	0.07	μB per formula unit
calculated total energy	-84.957	eV for the cell shown
ΔE_f (raw)	-22.899	eV/f.u.
symmetry	P2/m


(7)
Pm2MgSb3Ir4 | PBE | relaxed

Cell and atoms, written as POSCAR:
```
Pm2MgSb3Ir4
1.0
4.299 0.000 0.000
0.000 4.299 0.000
0.000 0.000 11.409
Pm Mg Sb Ir
2 1 3 4
direct
0.000 0.500 0.249 Pm
0.500 0.000 0.751 Pm
0.500 0.500 0.000 Mg
0.000 0.000 0.000 Sb
0.000 0.500 0.635 Sb
0.500 0.000 0.365 Sb
0.000 0.000 0.500 Ir
0.000 0.500 0.859 Ir
0.500 0.000 0.141 Ir
0.500 0.500 0.500 Ir
```

Computed properties:
M_tot	0.00	μB per formula unit
calculated total energy	-65.075	eV for the cell shown
ΔE_f (raw)	-6.168	eV/f.u.
symmetry	P-4m2


(8)
ZnPbCl2 | PBE | relaxed

Cell and atoms, written as POSCAR:
```
ZnPbCl2
1.0
1.743 1.006 10.548
-1.743 1.006 10.548
0.000 -2.013 10.548
Zn Pb Cl
1 1 2
direct
0.000 0.000 0.000 Zn
0.500 0.500 0.500 Pb
0.378 0.378 0.378 Cl
0.622 0.622 0.622 Cl
```

Computed properties:
M_tot	0.00	μB per formula unit
relative energy among the computed polymorphs	19	meV/atom
calculated total energy	-11.280	eV for the cell shown
ΔE_f (raw)	-2.605	eV/f.u.
symmetry	R-3m


(9)
CaTlRu2 | PBE | relaxed

Cell and atoms, written as POSCAR:
```
CaTlRu2
1.0
3.309 0.000 0.000
0.000 4.532 0.000
0.000 0.000 4.998
Ca Tl Ru
1 1 2
direct
0.000 0.000 0.000 Ca
0.500 0.000 0.500 Tl
0.000 0.500 0.500 Ru
0.500 0.500 0.000 Ru
```

Computed properties:
M_tot	0.76	μB per formula unit
relative energy among the computed polymorphs	335	meV/atom
calculated total energy	-20.811	eV for the cell shown
symmetry	Pmmm
E_form	2.108	eV/f.u.


(10)
KYHf2Ru | PBE | relaxed

Cell and atoms, written as POSCAR:
```
KYHf2Ru
1.0
4.961 0.000 0.000
0.000 4.961 0.000
0.000 0.000 4.760
K Y Hf Ru
1 1 2 1
direct
0.000 0.000 0.000 K
0.500 0.500 0.500 Y
0.000 0.500 0.000 Hf
0.500 0.000 0.000 Hf
0.000 0.000 0.500 Ru
```

Computed properties:
M_tot	0.00	μB per formula unit
calculated total energy	-27.434	eV for the cell shown
symmetry	P4/mmm
E_form	9.311	eV/f.u.


(11)
AlSbBr2 | PBE | relaxed

Cell and atoms, written as POSCAR:
```
AlSbBr2
1.0
3.610 0.000 0.000
0.000 3.610 0.000
0.000 0.000 8.639
Al Sb Br
1 1 2
direct
0.000 0.000 0.000 Al
0.500 0.500 0.808 Sb
0.000 0.000 0.592 Br
0.500 0.500 0.182 Br
```

Computed properties:
M_tot	0.00	μB per formula unit
relative energy among the computed polymorphs	235	meV/atom
calculated total energy	-11.619	eV for the cell shown
ΔE_f (raw)	-0.408	eV/f.u.
symmetry	P4mm


(12)
Tb2Nd3Dy2 | PBE | relaxed

Cell and atoms, written as POSCAR:
```
Tb2Nd3Dy2
1.0
8.818 -1.765 0.000
8.818 1.765 0.000
-4.155 0.000 7.548
Tb Nd Dy
2 3 2
direct
0.064 0.064 0.410 Tb
0.936 0.936 0.590 Tb
0.287 0.287 0.701 Nd
0.500 0.500 0.000 Nd
0.713 0.713 0.299 Nd
0.355 0.355 0.175 Dy
0.645 0.645 0.825 Dy
```

Computed properties:
M_tot	0.00	μB per formula unit
relative energy among the computed polymorphs	94	meV/atom
calculated total energy	-31.996	eV for the cell shown
symmetry	C2/m
E_form	0.772	eV/f.u.


(13)
AcMgHg | PBE | relaxed

Cell and atoms, written as POSCAR:
```
AcMgHg
1.0
5.792 -2.495 0.000
5.792 2.495 0.000
-5.151 0.000 6.201
Ac Mg Hg
2 2 2
direct
0.050 0.050 0.310 Ac
0.950 0.950 0.690 Ac
0.331 0.331 0.906 Mg
0.669 0.669 0.094 Mg
0.331 0.331 0.283 Hg
0.669 0.669 0.717 Hg
```

Computed properties:
M_tot	0.00	μB per formula unit
relative energy among the computed polymorphs	60	meV/atom
calculated total energy	-13.995	eV for the cell shown
symmetry	C2/m
E_form	-0.992	eV/f.u.